(1)
VASP calculation (GGA-PBE) on an optimized crystal structure of ErPu2F11.

Results
Calculated total energy: -418.41 eV per cell
Formation energy from raw total energies: -3628 meV per atom

Cell lengths 8.410, 10.204, 10.884 Å; angles 90.00, 90.00, 90.00 degrees
Space group Ibam (No. 72)
Inequivalent atoms, fractional coordinates:
Er (0.000, 0.000, 0.250)
Pu (0.155, 0.319, 0.000)
F (0.000, 0.500, 0.000)
F (0.087, 0.177, 0.142)
F (0.131, 0.289, 0.500)
F (0.215, 0.068, 0.362)

=====

(2)
VASP calculation (GGA-PBE) on an optimized crystal structure of ErPuF4.

Results
Calculated total energy: -183.29 eV per cell
Formation energy from raw total energies: -3240 meV per atom

Cell lengths 7.643, 7.643, 7.593 Å; angles 90.00, 90.00, 90.00 degrees
Space group I4_1md (No. 109)
Inequivalent atoms, fractional coordinates:
Er (0.000, 0.000, 0.000)
Pu (0.000, 0.000, 0.476)
F (0.000, 0.183, 0.778)
F (0.000, 0.217, 0.191)

=====

(3)
VASP calculation (GGA-PBE) on an optimized crystal structure of Er2PuF11.

Results
Calculated total energy: -379.92 eV per cell
Formation energy from raw total energies: -3638 meV per atom

Cell lengths 7.990, 10.257, 10.996 Å; angles 90.00, 90.00, 90.00 degrees
Space group Ibam (No. 72)
Inequivalent atoms, fractional coordinates:
Er (0.135, 0.181, 0.000)
Pu (0.000, 0.500, 0.250)
F (0.000, 0.000, 0.000)
F (0.096, 0.329, 0.150)
F (0.128, 0.226, 0.500)
F (0.213, 0.433, 0.360)

=====

(4)
VASP calculation (GGA-PBE) on an optimized crystal structure of RbEr4F12.

Results
Calculated total energy: -213.99 eV per cell
Formation energy from raw total energies: -3842 meV per atom

Cell lengths 8.756, 8.757, 8.758 Å; angles 90.00, 90.00, 90.00 degrees
Space group Immm (No. 71)
Inequivalent atoms, fractional coordinates:
Rb (0.000, 0.000, 0.000)
Er (0.250, 0.250, 0.250)
F (0.000, 0.241, 0.238)
F (0.237, 0.000, 0.241)
F (0.240, 0.239, 0.000)

=====

(5)
VASP calculation (GGA-PBE) on an optimized crystal structure of RbErF4.

Results
Calculated total energy: -141.54 eV per cell
Formation energy from raw total energies: -3728 meV per atom

Cell lengths 4.373, 17.866, 6.470 Å; angles 90.00, 90.00, 90.00 degrees
Space group Cmc2_1 (No. 36)
Inequivalent atoms, fractional coordinates:
Rb (0.000, 0.190, 0.000)
Er (0.000, 0.417, 0.003)
F (0.000, 0.080, 0.504)
F (0.000, 0.330, 0.226)
F (0.000, 0.331, 0.774)
F (0.000, 0.498, 0.257)

=====

(6)
VASP calculation (GGA-PBE) on an optimized crystal structure of RbErF3.

Results
Calculated total energy: -108.46 eV per cell
Formation energy from raw total energies: -3194 meV per atom

Cell lengths 4.140, 4.289, 23.394 Å; angles 90.00, 90.00, 90.00 degrees
Space group Imma (No. 74)
Inequivalent atoms, fractional coordinates:
Rb (0.000, 0.250, 0.066)
Er (0.000, 0.250, 0.675)
F (0.000, 0.250, 0.344)
F (0.000, 0.250, 0.573)
F (0.000, 0.250, 0.853)

=====

(7)
VASP calculation (GGA-PBE) on an optimized crystal structure of Rb2Er3F10.

Results
Calculated total energy: -354.52 eV per cell
Formation energy from raw total energies: -3620 meV per atom

Cell lengths 20.389, 7.320, 8.544 Å; angles 90.00, 112.56, 90.00 degrees
Space group C2/m (No. 12)
Inequivalent atoms, fractional coordinates:
Rb (0.106, 0.000, 0.165)
Rb (0.214, 0.000, 0.864)
Er (0.000, 0.239, 0.500)
Er (0.081, 0.500, 0.958)
Er (0.188, 0.500, 0.516)
F (0.000, 0.318, 0.000)
F (0.021, 0.500, 0.674)
F (0.042, 0.000, 0.420)
F (0.109, 0.310, 0.527)
F (0.139, 0.500, 0.236)
F (0.149, 0.282, 0.971)
F (0.250, 0.000, 0.226)
F (0.250, 0.250, 0.500)

=====

(8)
VASP calculation (GGA-PBE) on an optimized crystal structure of Rb4Er6F19.

Results
Calculated total energy: -337.81 eV per cell
Formation energy from raw total energies: -3521 meV per atom

Cell lengths 11.066, 11.066, 11.066 Å; angles 90.00, 90.00, 90.00 degrees
Space group I23 (No. 197)
Inequivalent atoms, fractional coordinates:
Rb (0.138, 0.138, 0.138)
Er (0.000, 0.161, 0.500)
F (0.000, 0.000, 0.000)
F (0.000, 0.000, 0.380)
F (0.001, 0.303, 0.363)